# Ti6GaGe

A relaxed Ti6GaGe crystal (GGA-PBE, Alexandria).

Output
SG = P-6m2, No. 187
formation energy = -372 meV per atom

Cell lengths 5.6845, 5.6845, 4.6264 Å; angles 90.00, 90.00, 120.00 degrees
Atoms (fractional coordinates):
1 Ti 0.0052 0.5026 0.0000
2 Ti 0.3261 0.1630 0.5000
3 Ti 0.4974 0.5026 0.0000
4 Ti 0.4974 0.9948 0.0000
5 Ti 0.8370 0.1630 0.5000
6 Ti 0.8370 0.6739 0.5000
7 Ga 0.3333 0.6667 0.5000
8 Ge 0.0000 0.0000 0.0000